# 1
The following is a PBE-GGA calculation of a relaxed P2HPtS crystal, from the Alexandria database.

Calculated values
For the relative energy among the computed polymorphs, the calculation gives 0.479 eV/atom. The theoretical density is 4.43 Mg/m³. For the electronic total energy, the calculation gives -3.640 eV per atom.

Lattice parameters (Å, degrees): 4.6189 4.6189 5.0968 90.00 90.00 90.00
Sites, in units of the cell vectors:
P (0.0000, 0.5000, 0.0000)
P (0.5000, 0.0000, 0.0000)
H (0.0000, 0.0000, 0.5000)
Pt (0.5000, 0.5000, 0.0000)
S (0.5000, 0.5000, 0.5000)


# 2
The following is a PBE-GGA calculation of a relaxed Be5NbRh crystal, from the Alexandria database.

Calculated values
The theoretical density is 5.64 Mg/m³. For the electronic total energy, the calculation gives -5.518 eV per atom. Its formation energy is -2.6 eV per formula unit.

Lattice parameters (Å, degrees): 7.3202 4.2619 9.0871 90.00 90.00 90.00
Sites, in units of the cell vectors:
Be (0.0348, 0.2500, 0.1071)
Be (0.0599, 0.5066, 0.3120)
Be (0.0599, 0.9934, 0.3120)
Be (0.0782, 0.7500, 0.5158)
Be (0.1978, 0.7500, 0.7454)
Be (0.3022, 0.2500, 0.2454)
Be (0.4218, 0.2500, 0.0158)
Be (0.4401, 0.0066, 0.8121)
Be (0.4401, 0.4934, 0.8121)
Be (0.4652, 0.7500, 0.6071)
Be (0.5348, 0.2500, 0.3929)
Be (0.5599, 0.5066, 0.1880)
Be (0.5599, 0.9934, 0.1880)
Be (0.5782, 0.7500, 0.9842)
Be (0.6978, 0.7500, 0.7546)
Be (0.8022, 0.2500, 0.2546)
Be (0.9218, 0.2500, 0.4842)
Be (0.9401, 0.0066, 0.6879)
Be (0.9401, 0.4934, 0.6879)
Be (0.9652, 0.7500, 0.8929)
Nb (0.2383, 0.7500, 0.0671)
Nb (0.2617, 0.2500, 0.5671)
Nb (0.7383, 0.7500, 0.4329)
Nb (0.7617, 0.2500, 0.9329)
Rh (0.1455, 0.2500, 0.8658)
Rh (0.3545, 0.7500, 0.3658)
Rh (0.6455, 0.2500, 0.6342)
Rh (0.8545, 0.7500, 0.1342)


# 3
The following is a PBE-GGA calculation of a relaxed Nd2ThHg crystal, from the Alexandria database.

Calculated values
For the relative energy among the computed polymorphs, the calculation gives 0.137 eV/atom. The theoretical density is 9.96 Mg/m³. For the electronic total energy, the calculation gives -4.414 eV per atom. Its formation energy is -0.4 eV per formula unit.

Lattice parameters (Å, degrees): 4.9386 4.9386 4.9283 90.00 90.00 90.00
Sites, in units of the cell vectors:
Nd (0.0000, 0.5000, 0.0000)
Nd (0.5000, 0.0000, 0.0000)
Th (0.0000, 0.0000, 0.5000)
Hg (0.5000, 0.5000, 0.5000)


# 4
The following is a PBE-GGA calculation of a relaxed BeIr2Pb crystal, from the Alexandria database.

Calculated values
For the relative energy among the computed polymorphs, the calculation gives 0.209 eV/atom. The theoretical density is 16.04 Mg/m³. For the electronic total energy, the calculation gives -5.960 eV per atom. Its formation energy is 1.3 eV per formula unit.

Lattice parameters (Å, degrees): 4.4472 4.4472 4.4472 60.00 60.00 60.00
Sites, in units of the cell vectors:
Be (0.0000, 0.0000, 0.0000)
Ir (0.2500, 0.2500, 0.2500)
Ir (0.7500, 0.7500, 0.7500)
Pb (0.5000, 0.5000, 0.5000)